Entry from Alexandria: an optimized crystal structure of ErZr2Zn9 (PBE).

```
ErZr2Zn9
1.0
2.6447 1.5269 8.3761
-2.6447 1.5269 8.3761
0.0000 -3.0539 8.3761
Er Zr Zn
1 2 9
Cartesian
0.0000 0.0000 0.0000 Er
0.0000 0.0000 3.6083 Zr
0.0000 0.0000 21.5199 Zr
-1.3526 -0.7809 10.5125 Zn
0.0000 0.0000 8.4261 Zn
0.0000 -1.5618 14.6157 Zn
-1.3526 0.7809 14.6157 Zn
0.0000 0.0000 12.5641 Zn
1.3526 -0.7809 10.5125 Zn
0.0000 1.5618 10.5125 Zn
0.0000 0.0000 16.7021 Zn
1.3526 0.7809 14.6157 Zn
```

Summary:
DOS(E_F)	0.65	states/eV/atom
ΔE_f	-6.655	kcal/mol of atoms
total moment	1.62	Bohr magnetons per cell